No. 1
The following is a GGA-PBEsol calculation of an optimized crystal structure of Ti3TlN, from Alexandria.

a = 4.160 Å, b = 4.160 Å, c = 4.160 Å
α = 90.00°, β = 90.00°, γ = 90.00°
Space group Pm-3m (No. 221)
Inequivalent atoms, fractional coordinates:
Ti 0.000 0.000 0.500 x3
Tl 0.500 0.500 0.500 x1
N 0.000 0.000 0.000 x1

Values from the calculation:
As for the total magnetization: 0.0 μB per cell. The calculation puts the calculated total energy at -8.12 eV per atom. For the uncorrected formation energy, the calculation gives -0.897 eV per atom.

No. 2
The following is a GGA-PBEsol calculation of an optimized crystal structure of TiWN2, from Alexandria.

a = 2.9858 Å, b = 2.9858 Å, c = 18.6996 Å
α = 90.00°, β = 90.00°, γ = 120.00°
Space group R-3m (No. 166, hexagonal axes)
Inequivalent atoms, fractional coordinates:
Ti 0.0000 0.0000 0.0000 x3
W 0.0000 0.0000 0.5000 x3
N 0.0000 0.0000 0.1048 x6

Values from the calculation:
As for the total magnetization: 0.0 μB per cell. The calculation puts the calculated total energy at -10.24 eV per atom. For the uncorrected formation energy, the calculation gives -0.439 eV per atom.